Material: Mn3O5F
Method: DFT, GGA+U
State: optimized geometry

Unit cell a=5.443 b=5.469 c=7.106 alpha=72.65 beta=72.92 gamma=72.10
Element x y z (fractional)
1 Mn 0.652 0.668 0.843
2 Mn 0.361 0.316 0.668
3 Mn 0.650 0.658 0.333
4 Mn 0.332 0.331 0.161
5 Mn 0.008 0.023 0.502
6 Mn 0.997 0.006 0.992
7 O 0.357 0.975 0.331
8 O 0.572 0.559 0.629
9 O 0.235 0.234 0.956
10 O 0.112 0.112 0.697
11 O 0.762 0.767 0.041
12 O 0.423 0.436 0.374
13 O 0.967 0.362 0.324
14 O 0.650 0.024 0.666
15 O 0.300 0.694 0.001
16 O 0.690 0.308 0.003
17 F 0.038 0.638 0.670
18 F 0.892 0.888 0.308

Computed properties:
**Polymorph energy (0 for the lowest one)**: 6 meV/atom
**Uncorrected energy**: -125.24 eV/cell
**Mass density**: 4.68 g cm⁻³